# 1
9
Lattice="7.441 -2.370 0.000 7.441 2.370 0.000 -0.252 0.000 10.557" Properties=species:S:1:pos:R:3 comment="Cs3In4Au2 | Alexandria via LeMat-Bulk | PBE | optimized geometry" e_form_mev_per_atom=-138 dft_energy_ev_per_cell=-21.3 spacegroup="C2/m (12)" de_polymorph_ev_per_fu=0.40 pbc="T T T"
Cs 0.000 0.000 0.000
Cs 4.808 0.000 3.585
Cs 9.822 0.000 6.972
In 0.723 0.000 4.055
In 3.942 0.000 9.866
In 10.687 0.000 0.691
In 13.907 0.000 6.503
Au 5.585 0.000 7.647
Au 9.045 0.000 2.910


# 2
12
Lattice="9.392 -3.733 0.000 9.392 3.733 0.000 -1.474 0.000 5.665" Properties=species:S:1:pos:R:3 comment="CsIn4Au | Alexandria via LeMat-Bulk | PBE | optimized geometry" e_form_mev_per_atom=-137 dft_energy_ev_per_cell=-31.8 spacegroup="C2/m (12)" de_polymorph_ev_per_fu=0.00 pbc="T T T"
Cs 3.898 0.000 0.914
Cs 13.412 0.000 4.751
In 7.026 2.238 2.591
In 9.392 2.250 0.000
In 10.285 2.238 3.073
In 5.819 0.000 4.323
In 11.492 0.000 1.342
In 7.026 -2.238 2.591
In 9.392 -2.250 0.000
In 10.285 -2.238 3.073
Au 8.166 0.000 1.366
Au 9.144 0.000 4.298


# 3
4
Lattice="4.338 0.000 0.000 0.000 4.338 0.000 0.000 0.000 9.495" Properties=species:S:1:pos:R:3 comment="Cs2InAu | Alexandria via LeMat-Bulk | PBE | optimized geometry" e_form_mev_per_atom=-58 dft_energy_ev_per_cell=-8.0 spacegroup="P4/mmm (123)" de_polymorph_ev_per_fu=0.47 pbc="T T T"
Cs 0.000 0.000 2.090
Cs 0.000 0.000 7.405
In 2.169 2.169 4.747
Au 2.169 2.169 0.000


The records above give, respectively, theoretical density values of 5.58 6.60 5.37 g cm⁻³.
The records above give, respectively, Fermi-level density of states values of 0.699 0.327 0.596 states/eV/atom.